*P*
The following is a GGA-PBE calculation of an optimized crystal structure of Ni2Pd6Au, from the Alexandria database.

a = 8.5091 Å, b = 8.5091 Å, c = 5.0995 Å
α = 95.07°, β = 95.07°, γ = 48.94°
Atoms (fractional coordinates):
Ni 0.1520 0.3015 0.4603
Ni 0.3015 0.1520 0.9603
Ni 0.6985 0.8480 0.0397
Ni 0.8480 0.6985 0.5397
Pd 0.0537 0.1055 0.1276
Pd 0.0980 0.5480 0.1451
Pd 0.1055 0.0537 0.6276
Pd 0.2549 0.5200 0.6644
Pd 0.4520 0.9020 0.3549
Pd 0.4800 0.7451 0.8356
Pd 0.5200 0.2549 0.1644
Pd 0.5480 0.0980 0.6451
Pd 0.7451 0.4800 0.3356
Pd 0.8945 0.9463 0.3724
Pd 0.9020 0.4520 0.8549
Pd 0.9463 0.8945 0.8724
Au 0.3267 0.6733 0.2500
Au 0.6733 0.3267 0.7500

D(E_F)	14.34	states/eV/f.u.
space group	C2/c (15)

---

*Q*
The following is a GGA-PBE calculation of an optimized crystal structure of Ni2Pd6Au, from the Alexandria database.

a = 4.8192 Å, b = 4.8192 Å, c = 8.2453 Å
α = 108.74°, β = 108.74°, γ = 48.21°
Atoms (fractional coordinates):
Ni 0.1566 0.1566 0.0549
Ni 0.8434 0.8434 0.9451
Pd 0.1601 0.1601 0.3794
Pd 0.1851 0.1851 0.7444
Pd 0.4796 0.4796 0.1512
Pd 0.5204 0.5204 0.8488
Pd 0.8149 0.8149 0.2556
Pd 0.8399 0.8399 0.6206
Au 0.5000 0.5000 0.5000

D(E_F)	13.83	states/eV/f.u.
space group	C2/m (12)

---

Which one sits at the top of the stability order? *Q* does.

---

*P*
The following is a GGA-PBE calculation of an optimized crystal structure of Ni2PdAu2, from the Alexandria database.

a = 7.3945 Å, b = 7.3945 Å, c = 2.8286 Å
α = 90.00°, β = 90.00°, γ = 90.00°
Atoms (fractional coordinates):
Ni 0.1583 0.3417 0.0000
Ni 0.3417 0.8417 0.0000
Ni 0.6583 0.1583 0.0000
Ni 0.8417 0.6583 0.0000
Pd 0.0000 0.0000 0.5000
Pd 0.5000 0.5000 0.5000
Au 0.1398 0.6398 0.5000
Au 0.3602 0.1398 0.5000
Au 0.6398 0.8602 0.5000
Au 0.8602 0.3602 0.5000

D(E_F)	5.73	states/eV/f.u.
space group	P4/mbm (127)

---

*Q*
The following is a GGA-PBE calculation of an optimized crystal structure of Ni2PdAu2, from the Alexandria database.

a = 7.1191 Å, b = 7.1191 Å, c = 2.9932 Å
α = 90.00°, β = 90.00°, γ = 90.00°
Atoms (fractional coordinates):
Ni 0.1212 0.3788 0.0000
Ni 0.3788 0.8788 0.0000
Ni 0.6212 0.1212 0.0000
Ni 0.8788 0.6212 0.0000
Pd 0.0000 0.0000 0.0000
Pd 0.5000 0.5000 0.0000
Au 0.1753 0.6753 0.5000
Au 0.3247 0.1753 0.5000
Au 0.6753 0.8247 0.5000
Au 0.8247 0.3247 0.5000

D(E_F)	6.88	states/eV/f.u.
space group	P4/mbm (127)

---

*R*
The following is a GGA-PBE calculation of an optimized crystal structure of Ni2PdAu2, from the Alexandria database.

a = 7.4787 Å, b = 7.4787 Å, c = 7.4787 Å
α = 154.15°, β = 154.15°, γ = 36.88°
Atoms (fractional coordinates):
Ni 0.2500 0.7500 0.5000
Ni 0.7500 0.2500 0.5000
Pd 0.0000 0.0000 0.0000
Au 0.3937 0.3937 0.0000
Au 0.6063 0.6063 0.0000

D(E_F)	7.76	states/eV/f.u.
space group	I4/mmm (139)

---

Which one sits at the top of the stability order? *Q* does.

---

*P*
The following is a GGA-PBE calculation of an optimized crystal structure of Ni2Pd2Au, from the Alexandria database.

a = 7.2219 Å, b = 7.2219 Å, c = 2.7928 Å
α = 90.00°, β = 90.00°, γ = 90.00°
Atoms (fractional coordinates):
Ni 0.1183 0.3817 0.0000
Ni 0.3817 0.8817 0.0000
Ni 0.6183 0.1183 0.0000
Ni 0.8817 0.6183 0.0000
Pd 0.1763 0.6763 0.5000
Pd 0.3237 0.1763 0.5000
Pd 0.6763 0.8237 0.5000
Pd 0.8237 0.3237 0.5000
Au 0.0000 0.0000 0.0000
Au 0.5000 0.5000 0.0000

D(E_F)	8.55	states/eV/f.u.
space group	P4/mbm (127)

---

*Q*
The following is a GGA-PBE calculation of an optimized crystal structure of Ni2Pd2Au, from the Alexandria database.

a = 6.1764 Å, b = 6.1764 Å, c = 6.1764 Å
α = 144.89°, β = 144.89°, γ = 50.49°
Atoms (fractional coordinates):
Ni 0.0979 0.0979 0.0000
Ni 0.9021 0.9021 0.0000
Pd 0.2500 0.7500 0.5000
Pd 0.7500 0.2500 0.5000
Au 0.5000 0.5000 0.0000

D(E_F)	7.44	states/eV/f.u.
space group	I4/mmm (139)

---

*R*
The following is a GGA-PBE calculation of an optimized crystal structure of Ni2Pd2Au, from the Alexandria database.

a = 7.2598 Å, b = 7.2598 Å, c = 7.2598 Å
α = 153.33°, β = 153.33°, γ = 38.07°
Atoms (fractional coordinates):
Ni 0.2500 0.7500 0.5000
Ni 0.7500 0.2500 0.5000
Pd 0.1083 0.1083 0.0000
Pd 0.8917 0.8917 0.0000
Au 0.5000 0.5000 0.0000

D(E_F)	8.50	states/eV/f.u.
space group	I4/mmm (139)

---

Which one sits at the top of the stability order? *P* does.